Record 1
La2TbPmSm5 PBE relaxed; mass density = 7.1 g cm⁻³; space group = I4/mcm (140); magnetization = 0.00 Bohr magnetons per cell; raw total energy = -81.2 eV/cell
1.0
-7.5271 0.4348 4.4337
0.5990 -8.5271 1.8533
7.5638 5.8092 3.6437
La Tb Pm Sm
4 2 2 10
Direct
0.1192 0.3808 0.0000
0.6192 0.1192 0.0000
0.3808 0.8808 0.0000
0.8808 0.6192 0.0000
0.2500 0.7500 0.5000
0.7500 0.2500 0.5000
0.2500 0.2500 0.5000
0.7500 0.7500 0.5000
0.9256 0.4256 0.2841
0.6415 0.1415 0.7159
0.0744 0.5744 0.7159
0.1415 0.0744 0.7159
0.5744 0.6415 0.7159
0.8585 0.9256 0.2841
0.4256 0.3585 0.2841
0.3585 0.8585 0.2841
0.5000 0.5000 0.0000
0.0000 0.0000 0.0000


Record 2
LaTb2PmSm PBE relaxed; mass density = 6.9 g cm⁻³; space group = Cmcm (63); magnetization = 0.00 Bohr magnetons per cell; raw total energy = -43.9 eV/cell
1.0
-1.9963 -5.9414 3.6274
-0.5280 -4.3074 -7.3458
5.8741 0.5844 4.1899
La Tb Pm Sm
2 4 2 2
Direct
0.7500 0.7342 0.4684
0.2500 0.2658 0.5316
0.5000 0.3114 0.0000
0.0000 0.6886 0.0000
0.5000 0.6886 0.0000
0.0000 0.3114 0.0000
0.2500 0.7241 0.4482
0.7500 0.2759 0.5518
0.2500 0.0006 0.0012
0.7500 0.9994 0.9988


Record 3
La2Tb5PmSm PBE relaxed; mass density = 7.5 g cm⁻³; space group = I4/mcm (140); magnetization = 0.00 Bohr magnetons per cell; raw total energy = -80.6 eV/cell
1.0
-3.9377 4.6172 -6.2485
-6.3187 2.1728 5.5875
9.2664 3.0668 2.4975
La Tb Pm Sm
4 10 2 2
Direct
0.1182 0.3818 0.0000
0.6182 0.1182 0.0000
0.3818 0.8818 0.0000
0.8818 0.6182 0.0000
0.9267 0.4267 0.2819
0.6448 0.1448 0.7181
0.0733 0.5733 0.7181
0.1448 0.0733 0.7181
0.5733 0.6448 0.7181
0.8552 0.9267 0.2819
0.4267 0.3552 0.2819
0.3552 0.8552 0.2819
0.5000 0.5000 0.0000
0.0000 0.0000 0.0000
0.2500 0.2500 0.5000
0.7500 0.7500 0.5000
0.2500 0.7500 0.5000
0.7500 0.2500 0.5000


Record 4
LaTbPm2Sm PBE relaxed; mass density = 6.9 g cm⁻³; space group = P2/c (13); magnetization = 0.00 Bohr magnetons per cell; raw total energy = -44.9 eV/cell
1.0
6.6031 0.0000 0.0000
0.0000 8.4647 1.0336
0.0000 -1.4217 6.1641
La Tb Pm Sm
2 2 4 2
Direct
0.0000 0.0000 0.0000
0.0000 0.0000 0.5000
0.1648 0.5000 0.7500
0.8352 0.5000 0.2500
0.6868 0.6880 0.7846
0.6868 0.3120 0.7154
0.3132 0.6880 0.2846
0.3132 0.3120 0.2154
0.5640 0.0000 0.2500
0.4360 0.0000 0.7500


Record 5
LaTb3Pm6Sm2 PBE relaxed; mass density = 7.3 g cm⁻³; space group = C2/m (12); magnetization = 0.00 Bohr magnetons per cell; raw total energy = -56.6 eV/cell
1.0
-0.5232 -6.0483 -1.6867
4.4928 3.6051 -2.5531
6.0986 -2.2587 10.1414
La Tb Pm Sm
1 3 6 2
Direct
0.0000 0.0000 0.0000
0.1670 0.8330 0.5000
0.8330 0.1670 0.5000
0.5000 0.5000 0.5000
0.9151 0.5810 0.7467
0.7508 0.7508 0.2535
0.0849 0.4190 0.2533
0.5810 0.9151 0.7467
0.2492 0.2492 0.7465
0.4190 0.0849 0.2533
0.3335 0.6665 0.0000
0.6665 0.3335 0.0000


Record 6
La3Tb2Pm6Sm PBE relaxed; mass density = 7.0 g cm⁻³; space group = C2/m (12); magnetization = 0.00 Bohr magnetons per cell; raw total energy = -57.0 eV/cell
1.0
-2.6219 -4.0627 -4.1047
5.8709 2.1810 -1.0026
3.3792 -8.5421 7.9416
La Tb Pm Sm
3 2 6 1
Direct
0.1671 0.8329 0.5000
0.8329 0.1671 0.5000
0.5000 0.5000 0.5000
0.3333 0.6667 0.0000
0.6667 0.3333 0.0000
0.9185 0.5846 0.7548
0.7478 0.7478 0.2453
0.0815 0.4154 0.2452
0.5846 0.9185 0.7548
0.2522 0.2522 0.7547
0.4154 0.0815 0.2452
0.0000 0.0000 0.0000


Record 7
La2Tb6PmSm3 PBE relaxed; mass density = 7.6 g cm⁻³; space group = C2/m (12); magnetization = 0.00 Bohr magnetons per cell; raw total energy = -56.4 eV/cell
1.0
-6.0569 0.8153 -1.4436
1.7935 -5.0382 3.2915
-0.1584 7.3688 9.3717
La Tb Pm Sm
2 6 1 3
Direct
0.3334 0.6666 0.0000
0.6666 0.3334 0.0000
0.9157 0.5830 0.7475
0.7517 0.7517 0.2525
0.0843 0.4170 0.2525
0.5830 0.9157 0.7475
0.2483 0.2483 0.7475
0.4170 0.0843 0.2525
0.0000 0.0000 0.0000
0.1665 0.8335 0.5000
0.8335 0.1665 0.5000
0.5000 0.5000 0.5000


Record 8
LaTbPmSm PBE relaxed; mass density = 7.1 g cm⁻³; space group = I-4m2 (119); magnetization = 0.00 Bohr magnetons per cell; raw total energy = -18.9 eV/cell
1.0
5.1575 0.0000 0.0000
0.0000 5.1588 0.0004
-2.5788 -2.5790 5.1828
La Tb Pm Sm
1 1 1 1
Direct
0.1956 0.6956 0.3912
0.6955 0.1955 0.3910
0.9456 0.9457 0.8911
0.4455 0.4454 0.8911